1.
A geometry-optimized Li2Ge3Ru3 structure, computed with PBE.

Cell and atoms, written as POSCAR:
```
Li2Ge3Ru3
1.0
7.160 0.000 0.000
-3.580 6.201 0.000
0.000 0.000 4.903
Li Ge Ru
4 6 6
Direct
0.333 0.667 0.000 Li
0.333 0.667 0.500 Li
0.667 0.333 0.000 Li
0.667 0.333 0.500 Li
0.000 0.395 0.250 Ge
0.000 0.605 0.750 Ge
0.395 0.000 0.250 Ge
0.395 0.395 0.750 Ge
0.605 0.000 0.750 Ge
0.605 0.605 0.250 Ge
0.000 0.245 0.750 Ru
0.000 0.755 0.250 Ru
0.245 0.000 0.750 Ru
0.245 0.245 0.250 Ru
0.755 0.000 0.250 Ru
0.755 0.755 0.750 Ru
```

Values from the calculation:
Calculated total energy ... -5.941 eV per atom
Crystal system ... hexagonal
E_form ... -0.253 eV per atom
Space-group type ... P6_3/mcm, No. 193

2.
A geometry-optimized LiGe2Ru structure, computed with PBE.

Cell and atoms, written as POSCAR:
```
LiGe2Ru
1.0
2.025 1.169 4.706
-2.025 1.169 4.706
0.000 -2.338 4.706
Li Ge Ru
1 2 1
Direct
0.000 0.000 0.000 Li
0.583 0.583 0.583 Ge
0.783 0.783 0.783 Ge
0.193 0.193 0.193 Ru
```

Values from the calculation:
Calculated total energy ... -5.275 eV per atom
Crystal system ... trigonal
E_form ... -0.168 eV per atom
Space-group type ... R3m, No. 160
Distance to the lowest polymorph of the same formula ... 63.5 meV/atom

no.,D(E_F) (states/eV/cell)
1,6.56
2,1.07